# 1
VASP calculation (GGA-PBE) on a relaxed KIr2Au crystal.

Lattice parameters (Å, degrees): 2.7151 5.0231 5.3471 90.00 90.00 90.00
Fractional coordinates of all 4 atoms:
Au1 0.0000 0.5000 0.5000
K1 0.5000 0.0000 0.5000
Ir1 0.0000 0.0000 0.0000
Ir2 0.5000 0.5000 0.0000

Output
Formation energy from the elements, eV/atom: 0.718
Final energy, eV per atom: -4.807
Crystal system: orthorhombic

---

# 2
VASP calculation (GGA-PBE) on a relaxed Ca2AlSi crystal.

Lattice parameters (Å, degrees): 5.4938 5.4938 5.4938 130.68 130.64 72.35
Fractional coordinates of all 4 atoms:
Ca1 0.0000 0.0000 0.0000
Si1 0.7500 0.2500 0.5000
Ca2 0.5000 0.5000 0.0000
Al1 0.2500 0.7500 0.5000

Output
Final energy, eV per atom: -3.497
Crystal system: tetragonal

---

# 3
VASP calculation (GGA-PBE) on a relaxed UPd2PtRh2 crystal.

Lattice parameters (Å, degrees): 5.6580 5.4449 6.6954 99.24 90.00 90.00
Fractional coordinates of all 12 atoms:
Pt1 0.2500 0.3438 0.8760
Pd1 0.5087 0.1821 0.1790
U1 0.2500 0.7063 0.2089
Pt2 0.7500 0.6562 0.1240
Rh1 0.2500 0.0049 0.5087
Pd2 0.4913 0.8179 0.8210
Rh2 0.2500 0.4898 0.4958
Pd3 0.9913 0.1821 0.1790
Rh3 0.7500 0.5102 0.5042
Rh4 0.7500 0.9951 0.4913
Pd4 0.0087 0.8179 0.8210
U2 0.7500 0.2937 0.7911

Output
Formation energy from the elements, eV/atom: -0.391
Final energy, eV per atom: -7.461
Crystal system: monoclinic